NaYPt2: relaxed, PBE-GGA.

```
NaYPt2
1.0
4.4455 0.0000 0.0000
0.0000 4.4455 0.0000
0.0000 0.0000 3.8945
Na Y Pt
1 1 2
Cartesian
0.0000 0.0000 0.0000
2.2227 2.2227 0.0000
0.0000 2.2227 1.9472
2.2227 0.0000 1.9472
```

Properties
The space group is P4/mmm (123). The value obtained for the formation energy is -0.680 eV/atom.